[1]
# TcAg2Cl | Alexandria via LeMat-Bulk | PBE | optimized geometry
data_TcAg2Cl
_chemical_formula_sum 'Tc4 Ag8 Cl4'
_cell_length_a 7.776
_cell_length_b 7.776
_cell_length_c 5.350
_cell_angle_alpha 90.00
_cell_angle_beta 90.00
_cell_angle_gamma 90.00
_space_group_name_H-M_alt 'I -4 2 d'
_space_group_IT_number 122
_space_group_name_Hall 'I -4 2bw'
loop_
_atom_site_label
_atom_site_type_symbol
_atom_site_fract_x
_atom_site_fract_y
_atom_site_fract_z
Tc1 Tc 0.000 0.000 0.000
Ag1 Ag 0.246 0.250 0.625
Cl1 Cl 0.000 0.000 0.500
# E_form (uncorrected)	75	kJ/mol of atoms
# V	20.217	Å³/atom
# energy above the most stable polymorph in this dataset	208	kJ/mol of formula units

***

[2]
# NbRuPt2Rh2 | Alexandria via LeMat-Bulk | PBE | optimized geometry
data_NbRuPt2Rh2
_chemical_formula_sum 'Nb2 Ru2 Pt4 Rh4'
_cell_length_a 5.026
_cell_length_b 5.175
_cell_length_c 7.317
_cell_angle_alpha 90.00
_cell_angle_beta 96.71
_cell_angle_gamma 90.00
_space_group_name_H-M_alt 'P 1 21/m 1'
_space_group_IT_number 11
_space_group_name_Hall '-P 2yb'
loop_
_atom_site_label
_atom_site_type_symbol
_atom_site_fract_x
_atom_site_fract_y
_atom_site_fract_z
Nb1 Nb 0.086 0.250 0.275
Ru1 Ru 0.112 0.750 0.411
Pt1 Pt 0.428 0.003 0.676
Rh1 Rh 0.121 0.250 0.920
Rh2 Rh 0.365 0.750 0.996
# electronic total energy	-7.7601	eV/atom
# V	15.749	Å³/atom

***

[3]
# KSrPb2 | Alexandria via LeMat-Bulk | PBE | optimized geometry
data_KSrPb2
_chemical_formula_sum 'K4 Sr4 Pb8'
_cell_length_a 7.831
_cell_length_b 7.647
_cell_length_c 9.523
_cell_angle_alpha 90.00
_cell_angle_beta 90.00
_cell_angle_gamma 90.00
_space_group_name_H-M_alt 'P n m a'
_space_group_IT_number 62
_space_group_name_Hall '-P 2ac 2n'
loop_
_atom_site_label
_atom_site_type_symbol
_atom_site_fract_x
_atom_site_fract_y
_atom_site_fract_z
K1 K 0.002 0.250 0.211
Sr1 Sr 0.002 0.750 0.215
Pb1 Pb 0.196 0.014 0.500
# V	35.639	Å³/atom
# energy above the most stable polymorph in this dataset	0	kJ/mol of formula units